1.
VASP calculation (SCAN) on a crystal of HgP2 relaxed with PBEsol.

abc: 3.222 3.222 7.235
angles: 90.00 90.00 120.00
Atoms (fractional coordinates):
P 0.333 0.667 0.414
P 0.667 0.333 0.586
Hg 0.000 0.000 0.000

Summary:
Total energy, eV for the cell shown: -88.83
ΔE_f, eV per formula unit: 0.13



2.
VASP calculation (SCAN) on a crystal of MgSb2IrC relaxed with PBEsol.

abc: 4.005 4.601 4.601
angles: 90.00 90.00 90.00
Atoms (fractional coordinates):
Sb 0.000 0.000 0.500
Sb 0.000 0.500 0.000
Mg 0.500 0.000 0.000
Ir 0.500 0.500 0.500
C 0.000 0.000 0.000

Summary:
Total energy, eV for the cell shown: -157.01
E_form (uncorrected), eV per formula unit: 3.69



3.
VASP calculation (SCAN) on a crystal of P2OsSF relaxed with PBEsol.

abc: 4.535 4.535 4.535
angles: 90.00 90.00 90.00
Atoms (fractional coordinates):
P 0.000 0.500 0.000
P 0.500 0.000 0.000
S 0.000 0.000 0.500
Os 0.000 0.000 0.000
F 0.500 0.500 0.500

Summary:
Total energy, eV for the cell shown: -103.40
E_form (uncorrected), eV per formula unit: 2.45



4.
VASP calculation (SCAN) on a crystal of SrIrAu2 relaxed with PBEsol.

abc: 2.897 4.282 6.197
angles: 90.00 90.00 90.00
Each line ends with the local moment (μB).
Atoms (fractional coordinates):
Au 0.000 0.000 0.028  0.01
Au 0.500 0.500 0.263  0.03
Ir 0.000 0.000 0.464  0.54
Sr 0.500 0.500 0.745  0.00

Summary:
Total energy, eV for the cell shown: -231.34
Distance to the lowest polymorph of the same formula, eV/atom: 0.184
ΔE_f, eV per formula unit: 0.35



5.
VASP calculation (SCAN) on a crystal of YTa2Zn relaxed with PBEsol.

abc: 4.074 4.074 5.416
angles: 112.09 112.09 90.00
Atoms (fractional coordinates):
Ta 0.750 0.250 0.500
Ta 0.250 0.750 0.500
Y 0.500 0.500 0.000
Zn 0.000 0.000 0.000

Summary:
Total energy, eV for the cell shown: -173.45
ΔE_f, eV per formula unit: 1.07



6.
VASP calculation (SCAN) on a crystal of CoAg2Au relaxed with PBEsol.

abc: 2.790 2.790 9.178
angles: 81.26 81.26 60.00
Each line ends with the local moment (μB).
Atoms (fractional coordinates):
Co 0.250 0.250 0.251  1.85
Au 0.506 0.506 0.483  0.01
Ag 0.995 0.995 0.015  -0.01
Ag 0.750 0.750 0.751  -0.01

Summary:
Total energy, eV for the cell shown: -148.63
Distance to the lowest polymorph of the same formula, eV/atom: 0.014
ΔE_f, eV per formula unit: 0.57



7.
VASP calculation (SCAN) on a crystal of Te2POs relaxed with PBEsol.

abc: 3.161 3.161 9.551
angles: 80.47 80.47 60.00
Atoms (fractional coordinates):
P 0.500 0.500 0.500
Te 0.910 0.910 0.269
Te 0.090 0.090 0.731
Os 0.000 0.000 0.000

Summary:
Total energy, eV for the cell shown: -152.19
E_form (uncorrected), eV per formula unit: 4.59
Distance to the lowest polymorph of the same formula, eV/atom: 0.635



8.
VASP calculation (SCAN) on a crystal of Y7Cd relaxed with PBEsol.

abc: 6.899 6.899 6.899
angles: 60.00 60.00 60.00
Atoms (fractional coordinates):
Y 0.500 0.000 0.000
Y 0.500 0.500 0.000
Y 0.000 0.500 0.000
Y 0.500 0.000 0.500
Y 0.000 0.000 0.500
Y 0.000 0.500 0.500
Y 0.500 0.500 0.500
Cd 0.000 0.000 0.000

Summary:
Total energy, eV for the cell shown: -225.44
ΔE_f, eV per formula unit: -0.13



9.
VASP calculation (SCAN) on a crystal of B2Sb2Ir relaxed with PBEsol.

abc: 3.042 3.042 8.255
angles: 100.62 100.62 90.00
Atoms (fractional coordinates):
Sb 0.385 0.385 0.770
Sb 0.615 0.615 0.230
B 0.250 0.750 0.500
B 0.750 0.250 0.500
Ir 0.000 0.000 0.000

Summary:
Total energy, eV for the cell shown: -155.43
E_form (uncorrected), eV per formula unit: 5.05
Distance to the lowest polymorph of the same formula, eV/atom: 0.000



10.
VASP calculation (SCAN) on a crystal of KLiCa relaxed with PBEsol.

abc: 3.944 3.944 9.326
angles: 90.00 90.00 120.00
Atoms (fractional coordinates):
Ca 0.000 0.000 0.037
K 0.333 0.667 0.648
Li 0.667 0.333 0.315

Summary:
Total energy, eV for the cell shown: -19.93
ΔE_f, eV per formula unit: 0.46



11.
VASP calculation (SCAN) on a crystal of AlCrNi relaxed with PBEsol.

abc: 2.544 4.056 4.056
angles: 120.00 90.00 90.00
Each line ends with the local moment (μB).
Atoms (fractional coordinates):
Ni 0.265 0.667 0.333  0.54
Al 0.085 0.000 0.000  -0.04
Cr 0.650 0.333 0.667  2.81

Summary:
Total energy, eV for the cell shown: -42.79
ΔE_f, eV per formula unit: -0.48



12.
VASP calculation (SCAN) on a crystal of CdSbMo2 relaxed with PBEsol.

abc: 4.100 4.100 5.062
angles: 113.89 113.89 90.00
Atoms (fractional coordinates):
Cd 0.250 0.750 0.500
Mo 0.000 0.000 0.000
Mo 0.750 0.250 0.500
Sb 0.500 0.500 0.000

Summary:
Total energy, eV for the cell shown: -135.27
E_form (uncorrected), eV per formula unit: 2.18
Distance to the lowest polymorph of the same formula, eV/atom: 0.124



13.
VASP calculation (SCAN) on a crystal of Ca2ZnSnW relaxed with PBEsol.

abc: 4.912 5.350 5.350
angles: 90.00 90.00 90.00
Each line ends with the local moment (μB).
Atoms (fractional coordinates):
Zn 0.500 0.000 0.000  -0.03
Ca 0.000 0.000 0.500  -0.07
Ca 0.000 0.500 0.000  -0.07
Sn 0.500 0.500 0.500  0.10
W 0.000 0.000 0.000  -1.39

Summary:
Total energy, eV for the cell shown: -133.44
ΔE_f, eV per formula unit: 5.01



14.
VASP calculation (SCAN) on a crystal of InPWAu2 relaxed with PBEsol.

abc: 4.799 4.967 4.967
angles: 90.00 90.00 90.00
Each line ends with the local moment (μB).
Atoms (fractional coordinates):
P 0.500 0.000 0.000  -0.23
Au 0.000 0.000 0.500  -0.04
Au 0.000 0.500 0.000  -0.04
W 0.500 0.500 0.500  3.14
In 0.000 0.000 0.000  0.02

Summary:
Total energy, eV for the cell shown: -242.78
ΔE_f, eV per formula unit: 9.01



15.
VASP calculation (SCAN) on a crystal of LiHf3Hg relaxed with PBEsol.

abc: 4.609 4.609 4.609
angles: 90.00 90.00 90.00
Atoms (fractional coordinates):
Hf 0.000 0.500 0.000
Hf 0.000 0.000 0.500
Hf 0.500 0.000 0.000
Hg 0.500 0.500 0.500
Li 0.000 0.000 0.000

Summary:
Total energy, eV for the cell shown: -255.39
ΔE_f, eV per formula unit: 3.18



16.
VASP calculation (SCAN) on a crystal of AlBPS2 relaxed with PBEsol.

abc: 4.018 4.617 4.617
angles: 90.00 90.00 90.00
Atoms (fractional coordinates):
P 0.500 0.500 0.500
S 0.000 0.000 0.500
S 0.000 0.500 0.000
B 0.500 0.000 0.000
Al 0.000 0.000 0.000

Summary:
Total energy, eV for the cell shown: -40.00
E_form (uncorrected), eV per formula unit: 4.84
Distance to the lowest polymorph of the same formula, eV/atom: 0.293



17.
VASP calculation (SCAN) on a crystal of SiNiBr3 relaxed with PBEsol.

abc: 5.050 5.050 5.050
angles: 90.00 90.00 90.00
Each line ends with the local moment (μB).
Atoms (fractional coordinates):
Ni 0.500 0.500 0.500  0.96
Si 0.000 0.000 0.000  0.00
Br 0.000 0.500 0.000  0.00
Br 0.000 0.000 0.500  0.00
Br 0.500 0.000 0.000  0.00

Summary:
Total energy, eV for the cell shown: -82.03
E_form (uncorrected), eV per formula unit: 2.53



18.
VASP calculation (SCAN) on a crystal of SrCaSi2 relaxed with PBEsol.

abc: 3.934 4.599 5.981
angles: 112.61 90.00 90.00
Atoms (fractional coordinates):
Sr 0.000 0.108 0.217
Ca 0.500 0.387 0.774
Si 0.000 0.820 0.640
Si 0.500 0.688 0.377

Summary:
Total energy, eV for the cell shown: -54.06
E_form (uncorrected), eV per formula unit: -2.09



19.
VASP calculation (SCAN) on a crystal of Ba2Y2FeCo2CuO10 relaxed with PBEsol.

abc: 5.416 5.416 8.330
angles: 108.97 108.97 90.00
Each line ends with the local moment (μB).
Atoms (fractional coordinates):
Ba 0.998 0.498 0.996  0.00
Ba 0.498 0.998 0.996  0.00
Y 0.750 0.250 0.500  -0.02
Y 0.250 0.750 0.500  -0.02
Fe 0.632 0.632 0.264  -3.61
Co 0.865 0.865 0.731  2.70
Co 0.359 0.359 0.719  1.19
Cu 0.134 0.134 0.268  0.46
O 0.503 0.503 0.007  -0.17
O 0.996 0.996 0.992  0.26
O 0.415 0.415 0.314  -0.04
O 0.898 0.898 0.314  -0.04
O 0.415 0.898 0.314  -0.04
O 0.898 0.415 0.314  -0.04
O 0.594 0.594 0.693  0.09
O 0.099 0.099 0.693  0.09
O 0.594 0.099 0.693  0.09
O 0.099 0.594 0.693  0.09

Summary:
Total energy, eV for the cell shown: -308.05
E_form (uncorrected), eV per formula unit: -43.01



20.
VASP calculation (SCAN) on a crystal of Y3RuC relaxed with PBEsol.

abc: 5.111 5.111 5.111
angles: 90.00 90.00 90.00
Atoms (fractional coordinates):
Y 0.000 0.500 0.000
Y 0.000 0.000 0.500
Y 0.500 0.000 0.000
Ru 0.000 0.000 0.000
C 0.500 0.500 0.500

Summary:
Total energy, eV for the cell shown: -123.55
ΔE_f, eV per formula unit: 4.90